# 1
The following is a PBE-GGA calculation of a geometry-optimized Al2CuSi8 structure, from Alexandria.

Unit cell a=3.634 b=3.634 c=13.253 alpha=90.00 beta=90.00 gamma=90.00
Positions (direct):
Al 0.000 0.000 0.346
Al 0.000 0.000 0.654
Cu 0.000 0.000 0.000
Si 0.000 0.500 0.500
Si 0.500 0.000 0.500
Si 0.500 0.500 0.266
Si 0.500 0.500 0.734
Si 0.000 0.500 0.128
Si 0.500 0.000 0.128
Si 0.000 0.500 0.872
Si 0.500 0.000 0.872

Output
As for the crystal system: tetragonal. Its symmetry is P4/mmm. The uncorrected formation energy comes out at 317 meV/atom.

---

# 2
The following is a PBE-GGA calculation of a geometry-optimized HoTa2MnC4 structure, from Alexandria.

Unit cell a=3.207 b=5.729 c=10.872 alpha=90.00 beta=90.00 gamma=106.25
Positions (direct):
Ho 0.102 0.204 0.750
Ho 0.898 0.796 0.250
Ta 0.369 0.739 0.543
Ta 0.631 0.261 0.043
Ta 0.631 0.261 0.457
Ta 0.369 0.739 0.957
Mn 0.837 0.673 0.750
Mn 0.163 0.327 0.250
C 0.265 0.530 0.118
C 0.735 0.470 0.618
C 0.735 0.470 0.882
C 0.265 0.530 0.382
C 0.000 0.000 0.500
C 0.000 0.000 0.000
C 0.427 0.854 0.750
C 0.573 0.146 0.250

Output
The calculation puts the formation energy at -0.373 eV/atom. As for the crystal system: orthorhombic. Its symmetry is Cmcm.

---

# 3
The following is a PBE-GGA calculation of a geometry-optimized K3In11 structure, from Alexandria.

Unit cell a=5.127 b=9.650 c=9.650 alpha=71.07 beta=74.60 gamma=74.60
Positions (direct):
K 0.000 0.000 0.000
K 0.701 0.299 0.299
K 0.299 0.701 0.701
In 0.000 0.500 0.500
In 0.500 0.317 0.683
In 0.500 0.683 0.317
In 0.658 0.976 0.709
In 0.342 0.024 0.291
In 0.658 0.709 0.976
In 0.342 0.291 0.024
In 0.854 0.866 0.426
In 0.146 0.134 0.574
In 0.854 0.426 0.866
In 0.146 0.574 0.134

Output
The calculation puts the formation energy at -0.103 eV/atom. As for the crystal system: orthorhombic. Its symmetry is Immm.

---

# 4
The following is a PBE-GGA calculation of a geometry-optimized K2ThBiO6 structure, from Alexandria.

Unit cell a=6.243 b=6.243 c=8.830 alpha=90.00 beta=90.00 gamma=90.00
Positions (direct):
K 0.000 0.000 0.250
K 0.500 0.500 0.750
K 0.000 0.000 0.750
K 0.500 0.500 0.250
Th 0.500 0.000 0.000
Th 0.000 0.500 0.500
Bi 0.500 0.000 0.500
Bi 0.000 0.500 0.000
O 0.242 0.743 0.001
O 0.742 0.757 0.501
O 0.758 0.257 0.999
O 0.258 0.243 0.499
O 0.258 0.758 0.499
O 0.758 0.742 0.999
O 0.742 0.242 0.501
O 0.242 0.258 0.001
O 0.999 0.500 0.242
O 0.499 0.000 0.742
O 0.001 0.500 0.758
O 0.501 0.000 0.258

Output
As for the crystal system: monoclinic. Its symmetry is C2/m. The uncorrected formation energy comes out at -1898 meV/atom.